Below is a geometry-optimized CdSb2Pb structure, with properties calculated at the PBE level.

VASP energy: -3.06 eV per atom
SG: P4mm (99)
Raw formation energy: 0.160 eV per atom

Lattice parameters (Å, degrees): 3.2644 3.2644 10.3978 90.00 90.00 90.00
Fractional positions:
Cd (0.0000, 0.0000, 0.0000)
Sb (0.0000, 0.0000, 0.5008)
Sb (0.5000, 0.5000, 0.7713)
Pb (0.5000, 0.5000, 0.2437)

---

Below is a geometry-optimized CdSbPb2 structure, with properties calculated at the PBE level.

VASP energy: -3.05 eV per atom
SG: Cmmm (65)
Raw formation energy: 0.061 eV per atom

Lattice parameters (Å, degrees): 7.1511 9.5560 3.4054 90.00 90.00 90.00
Fractional positions:
Cd (0.0000, 0.0000, 0.0000)
Cd (0.5000, 0.5000, 0.0000)
Sb (0.0000, 0.5000, 0.0000)
Sb (0.5000, 0.0000, 0.0000)
Pb (0.2500, 0.2500, 0.5000)
Pb (0.2500, 0.7500, 0.5000)
Pb (0.7500, 0.2500, 0.5000)
Pb (0.7500, 0.7500, 0.5000)

---

Below is a geometry-optimized CdSb2Pb structure, with properties calculated at the PBE level.

VASP energy: -3.10 eV per atom
SG: I4/mmm (139)
Raw formation energy: 0.118 eV per atom

Lattice parameters (Å, degrees): 5.0210 5.0210 8.9597 90.00 90.00 90.00
Fractional positions:
Cd (0.0000, 0.0000, 0.0000)
Cd (0.5000, 0.5000, 0.5000)
Sb (0.0000, 0.5000, 0.2500)
Sb (0.0000, 0.5000, 0.7500)
Sb (0.5000, 0.0000, 0.2500)
Sb (0.5000, 0.0000, 0.7500)
Pb (0.0000, 0.0000, 0.5000)
Pb (0.5000, 0.5000, 0.0000)